An optimized crystal structure of NaTb4In5. Source: the Alexandria database, functional PBE.

Cell lengths 3.753, 3.753, 19.085 Å; angles 90.00, 90.00, 90.00 degrees
Space group P4/mmm (No. 123)
Unique sites:
Na (0.000, 0.000, 0.000) [1 per cell]
Tb (0.000, 0.000, 0.198) [2 per cell]
Tb (0.000, 0.000, 0.400) [2 per cell]
In (0.500, 0.500, 0.101) [2 per cell]
In (0.500, 0.500, 0.300) [2 per cell]
In (0.500, 0.500, 0.500) [1 per cell]

## Properties
N(E_F) = 0.5136 states/eV per atom
Crystal system = tetragonal
Energy of formation from the pure elements = -0.390 eV/atom